Computed, not measured: an optimized crystal structure of HoTl2NiF6 at the PBE with a Hubbard U level of DFT.

The structure belongs to space group Pmmn (No. 59, origin choice 2); the cell edges are 5.969, 10.130 and 5.971 Å and the angles 90.00°, 90.00° and 90.00°. The distinct sites, in fractional coordinates, are Ho at (0.250, 0.250, 0.247), Tl at (0.250, 0.000, 0.750), Ni at (0.250, 0.750, 0.254), F at (0.006, 0.750, 0.009), F at (0.006, 0.750, 0.497) and F at (0.250, 0.036, 0.246).

For the total energy, the calculation gives -4.8627 eV/atom.